Record 1
# ScCrW2

A geometry-optimized ScCrW2 structure (GGA-PBE, Alexandria).

abc: 8.951 8.951 8.951
angles: 18.88 18.88 18.88
Atoms (fractional coordinates):
W 0.510 0.510 0.510
Sc 0.750 0.750 0.750
W 0.990 0.990 0.990
Cr 0.250 0.250 0.250

Computed properties:
Its crystal system is trigonal. Its space group is R-3m, No. 166. For the calculated volume, the calculation gives 65.7 Å³/f.u. Its formation energy is 437 meV per atom. The value obtained for the density of states at the Fermi level is 4.681 states/eV/f.u. Its total magnetization is 0.000 μB/f.u.

***

Record 2
# ScCr2W

A geometry-optimized ScCr2W structure (GGA-PBE, Alexandria).

abc: 4.276 2.740 5.170
angles: 79.07 90.00 90.00
Atoms (fractional coordinates):
Sc 0.000 0.493 0.487
Cr 0.500 0.223 0.239
W 0.500 0.774 0.771
Cr 0.000 0.010 0.003

Computed properties:
Its crystal system is monoclinic. Its space group is Pm, No. 6. For the calculated volume, the calculation gives 59.5 Å³/f.u. Its formation energy is 324 meV per atom. The value obtained for the density of states at the Fermi level is 4.528 states/eV/f.u. Its total magnetization is 0.000 μB/f.u.

***

Record 3
# Sc2CrW

A geometry-optimized Sc2CrW structure (GGA-PBE, Alexandria).

abc: 5.534 5.534 4.337
angles: 66.90 66.90 34.65
Atoms (fractional coordinates):
Sc 0.533 0.533 0.467
Cr 0.250 0.250 0.250
Sc 0.967 0.967 0.033
W 0.750 0.750 0.750

Computed properties:
Its crystal system is orthorhombic. Its space group is Immm, No. 71. For the calculated volume, the calculation gives 68.9 Å³/f.u. Its formation energy is 381 meV per atom. The value obtained for the density of states at the Fermi level is 4.275 states/eV/f.u. Its total magnetization is 0.001 μB/f.u.

***

Record 4
# ScCrW2

A geometry-optimized ScCrW2 structure (GGA-PBE, Alexandria).

abc: 4.506 4.506 4.506
angles: 60.00 60.00 60.00
Last column: magnetic moment on the atom in μB.
Atoms (fractional coordinates):
W 0.000 0.000 0.000  0.21
W 0.250 0.250 0.250  -0.32
Cr 0.500 0.500 0.500  1.74
Sc 0.750 0.750 0.750  0.14

Computed properties:
Its crystal system is cubic. Its space group is F-43m, No. 216. For the calculated volume, the calculation gives 64.7 Å³/f.u. Its formation energy is 239 meV per atom. The value obtained for the density of states at the Fermi level is 4.607 states/eV/f.u. Its total magnetization is 1.930 μB/f.u.

***

Record 5
# Sc2CrW

A geometry-optimized Sc2CrW structure (GGA-PBE, Alexandria).

abc: 9.531 9.531 9.531
angles: 17.97 17.97 17.97
Last column: magnetic moment on the atom in μB.
Atoms (fractional coordinates):
Sc 0.497 0.497 0.497  -0.05
Cr 0.750 0.750 0.750  2.08
Sc 0.003 0.003 0.003  -0.05
W 0.250 0.250 0.250  0.07

Computed properties:
Its crystal system is trigonal. Its space group is R-3m, No. 166. For the calculated volume, the calculation gives 72.0 Å³/f.u. Its formation energy is 496 meV per atom. The value obtained for the density of states at the Fermi level is 5.631 states/eV/f.u. Its total magnetization is 2.195 μB/f.u.

***

Record 6
# ScCrW

A geometry-optimized ScCrW structure (GGA-PBE, Alexandria).

abc: 4.429 4.429 2.832
angles: 90.00 90.00 120.00
Atoms (fractional coordinates):
Sc 0.333 0.667 0.321
Cr 0.000 0.000 0.963
W 0.667 0.333 0.716

Computed properties:
Its crystal system is trigonal. Its space group is P3m1, No. 156. For the calculated volume, the calculation gives 48.1 Å³/f.u. Its formation energy is 288 meV per atom. The value obtained for the density of states at the Fermi level is 3.237 states/eV/f.u. Its total magnetization is 0.000 μB/f.u.

***

Record 7
# ScCrW2

A geometry-optimized ScCrW2 structure (GGA-PBE, Alexandria).

abc: 4.403 2.756 5.365
angles: 80.13 90.00 90.00
Atoms (fractional coordinates):
Sc 0.500 0.739 0.742
W 0.000 0.025 0.010
Cr 0.000 0.477 0.493
W 0.500 0.259 0.255

Computed properties:
Its crystal system is monoclinic. Its space group is Pm, No. 6. For the calculated volume, the calculation gives 64.1 Å³/f.u. Its formation energy is 269 meV per atom. The value obtained for the density of states at the Fermi level is 4.228 states/eV/f.u. Its total magnetization is 0.000 μB/f.u.

***

Record 8
# Sc3CrW

A geometry-optimized Sc3CrW structure (GGA-PBE, Alexandria).

abc: 4.669 4.669 4.669
angles: 90.00 90.00 90.00
Atoms (fractional coordinates):
Sc 0.000 0.500 0.000
W 0.500 0.500 0.500
Sc 0.000 0.000 0.500
Sc 0.500 0.000 0.000
Cr 0.000 0.000 0.000

Computed properties:
Its crystal system is cubic. Its space group is Pm-3m, No. 221. For the calculated volume, the calculation gives 101.8 Å³/f.u. Its formation energy is 1052 meV per atom. The value obtained for the density of states at the Fermi level is 7.843 states/eV/f.u. Its total magnetization is 0.036 μB/f.u.

***

Repeat the fourth record exactly.
# ScCrW2

A geometry-optimized ScCrW2 structure (GGA-PBE, Alexandria).

abc: 4.506 4.506 4.506
angles: 60.00 60.00 60.00
Last column: magnetic moment on the atom in μB.
Atoms (fractional coordinates):
W 0.000 0.000 0.000  0.21
W 0.250 0.250 0.250  -0.32
Cr 0.500 0.500 0.500  1.74
Sc 0.750 0.750 0.750  0.14

Computed properties:
Its crystal system is cubic. Its space group is F-43m, No. 216. For the calculated volume, the calculation gives 64.7 Å³/f.u. Its formation energy is 239 meV per atom. The value obtained for the density of states at the Fermi level is 4.607 states/eV/f.u. Its total magnetization is 1.930 μB/f.u.

***

calculated volume of number 8 (Sc3CrW)?
101.8 Å³/f.u.